1.
First-principles (PBE-GGA) data for a relaxed Pm5NdEr2Sc crystal, as listed in Alexandria via LeMat-Bulk.

abc: 5.625 10.509 10.477
angles: 90.00 90.00 105.52
Fractional coordinates of all 18 atoms:
1 Er 0.884 0.768 0.237
2 Er 0.887 0.775 0.809
3 Er 0.113 0.225 0.309
4 Er 0.116 0.232 0.737
5 Sc 0.195 0.390 0.015
6 Sc 0.805 0.610 0.515
7 Pm 0.376 0.751 0.019
8 Pm 0.484 0.969 0.742
9 Pm 0.299 0.597 0.708
10 Pm 0.724 0.448 0.821
11 Pm 0.276 0.552 0.321
12 Pm 0.983 0.967 0.515
13 Pm 0.624 0.249 0.519
14 Pm 0.017 0.033 0.015
15 Pm 0.516 0.031 0.242
16 Pm 0.701 0.403 0.208
17 Nd 0.409 0.817 0.458
18 Nd 0.591 0.183 0.958

Properties
energy of formation from the pure elements = 3.8 kcal/mol of atoms
volume = 33.1 Å³/atom
spin magnetization = 0.00 μB per formula unit
symmetry = Cmc2_1, No. 36


2.
First-principles (PBE-GGA) data for a relaxed Ag15Pt crystal, as listed in Alexandria via LeMat-Bulk.

abc: 5.843 5.843 9.619
angles: 90.00 90.00 120.00
Fractional coordinates of all 16 atoms:
1 Ag 0.499 0.999 0.000
2 Ag 0.834 0.669 0.248
3 Ag 0.331 0.166 0.752
4 Ag 0.834 0.166 0.752
5 Ag 0.834 0.166 0.248
6 Ag 0.000 0.000 0.500
7 Ag 0.998 0.499 0.500
8 Ag 0.333 0.667 0.747
9 Ag 0.331 0.166 0.248
10 Ag 0.333 0.667 0.253
11 Ag 0.501 0.002 0.500
12 Ag 0.001 0.501 0.000
13 Ag 0.501 0.499 0.500
14 Ag 0.834 0.669 0.752
15 Ag 0.499 0.501 0.000
16 Pt 0.000 0.000 0.000

Properties
energy of formation from the pure elements = 0.7 kcal/mol of atoms
volume = 17.8 Å³/atom
spin magnetization = 0.00 μB per formula unit
symmetry = P-6m2, No. 187


3.
First-principles (PBE-GGA) data for a relaxed RbCa2Tl crystal, as listed in Alexandria via LeMat-Bulk.

abc: 4.010 4.010 13.147
angles: 81.23 81.23 60.00
Fractional coordinates of all 4 atoms:
1 Ca 0.894 0.894 0.318
2 Ca 0.106 0.106 0.682
3 Tl 0.500 0.500 0.500
4 Rb 0.000 0.000 0.000

Properties
energy of formation from the pure elements = 0.0 kcal/mol of atoms
volume = 45.1 Å³/atom
spin magnetization = 0.00 μB per formula unit
symmetry = R-3m, No. 166


4.
First-principles (PBE-GGA) data for a relaxed RbLaMgCd crystal, as listed in Alexandria via LeMat-Bulk.

abc: 6.227 3.540 14.068
angles: 90.00 115.37 90.00
Fractional coordinates of all 8 atoms:
1 La 0.481 0.000 0.000
2 La 0.481 0.500 0.500
3 Rb 0.791 0.500 0.303
4 Rb 0.791 0.000 0.803
5 Mg 0.061 0.500 0.081
6 Mg 0.061 0.000 0.581
7 Cd 0.261 0.500 0.771
8 Cd 0.261 0.000 0.271

Properties
energy of formation from the pure elements = 2.4 kcal/mol of atoms
volume = 35.0 Å³/atom
spin magnetization = 0.00 μB per formula unit
symmetry = Cm, No. 8


5.
First-principles (PBE-GGA) data for a relaxed BiBTe2I crystal, as listed in Alexandria via LeMat-Bulk.

abc: 4.960 4.960 5.240
angles: 90.00 90.00 90.00
Fractional coordinates of all 5 atoms:
1 Te 0.500 0.000 0.000
2 Te 0.000 0.500 0.000
3 Bi 0.500 0.500 0.500
4 I 0.000 0.000 0.500
5 B 0.000 0.000 0.000

Properties
E_form (uncorrected) = 0.6075 eV/atom
volume = 25.8 Å³/atom
spin magnetization = 0.00 μB per formula unit
symmetry = P4/mmm, No. 123


6.
First-principles (PBE-GGA) data for a relaxed DyY6Th12 crystal, as listed in Alexandria via LeMat-Bulk.

abc: 8.749 8.749 8.749
angles: 99.60 99.60 99.60
Fractional coordinates of all 19 atoms:
1 Th 0.500 0.248 0.752
2 Th 0.248 0.500 0.752
3 Th 0.248 0.752 0.500
4 Th 0.500 0.752 0.248
5 Th 0.918 0.650 0.650
6 Th 0.752 0.500 0.248
7 Th 0.650 0.650 0.918
8 Th 0.650 0.918 0.650
9 Th 0.350 0.350 0.082
10 Th 0.082 0.350 0.350
11 Th 0.350 0.082 0.350
12 Th 0.752 0.248 0.500
13 Y 0.900 0.339 0.900
14 Y 0.100 0.100 0.661
15 Y 0.100 0.661 0.100
16 Y 0.661 0.100 0.100
17 Y 0.900 0.900 0.339
18 Y 0.339 0.900 0.900
19 Dy 0.000 0.000 0.000

Properties
energy of formation from the pure elements = 5.7 kcal/mol of atoms
volume = 33.6 Å³/atom
spin magnetization = 0.00 μB per formula unit
symmetry = R-3m, No. 166


7.
First-principles (PBE-GGA) data for a relaxed HoHg2Bi crystal, as listed in Alexandria via LeMat-Bulk.

abc: 3.812 3.812 7.295
angles: 90.00 90.00 90.00
Fractional coordinates of all 4 atoms:
1 Hg 0.000 0.000 0.759
2 Hg 0.000 0.000 0.241
3 Ho 0.500 0.500 0.000
4 Bi 0.500 0.500 0.500

Properties
energy of formation from the pure elements = -5.4 kcal/mol of atoms
volume = 26.5 Å³/atom
spin magnetization = 0.00 μB per formula unit
symmetry = P4/mmm, No. 123